Material: Co2AuIO
Method: DFT, GGA+U
State: optimized geometry

The total magnetic moment is 4.62 μB per formula unit. The calculation puts the total energy at -2.574 eV per atom.

The space group is P4/mmm (No. 123) and the conventional cell measures 4.938, 4.938 and 5.293 Å, with angles of 90.00, 90.00 and 90.00 degrees. Symmetry generates all atoms from Co at (0.000, 0.500, 0.000), Au at (0.000, 0.000, 0.500), I at (0.000, 0.000, 0.000) and O at (0.500, 0.500, 0.500).